Version a
Computed, not measured: an optimized crystal structure of Ni2PtW at the PBE level of DFT.

```
Ni2PtW
1.0
0.000 2.977 2.977
2.977 0.000 2.977
2.977 2.977 0.000
Ni Pt W
2 1 1
Direct
0.250 0.250 0.250
0.750 0.750 0.750
0.000 0.000 0.000
0.500 0.500 0.500
```

Computed properties:
As for the space group: Fm-3m.

Version b
Computed, not measured: an optimized crystal structure of Ni2PtW at the PBE level of DFT.

```
Ni2PtW
1.0
5.147 0.000 0.000
0.000 4.685 0.000
-0.422 0.000 8.857
Ni Pt W
8 4 4
Direct
0.052 0.167 0.190
0.052 0.333 0.690
0.432 0.665 0.814
0.432 0.835 0.314
0.568 0.165 0.686
0.568 0.335 0.186
0.948 0.667 0.310
0.948 0.833 0.810
0.305 0.162 0.935
0.305 0.338 0.435
0.695 0.662 0.565
0.695 0.838 0.065
0.193 0.660 0.068
0.193 0.840 0.568
0.807 0.160 0.432
0.807 0.340 0.932
```

Computed properties:
As for the space group: P2_1/c.

Energetically preferred structure: version b | next structure: +9.9 kJ/mol of atoms

Version a
Computed, not measured: an optimized crystal structure of Ni2PtW at the PBE level of DFT.

```
Ni2PtW
1.0
0.000 3.008 3.008
3.008 0.000 3.008
3.008 3.008 0.000
Ni Pt W
2 1 1
Direct
0.000 0.000 0.000
0.250 0.250 0.250
0.500 0.500 0.500
0.750 0.750 0.750
```

Computed properties:
As for the space group: F-43m.

Version b
Computed, not measured: an optimized crystal structure of Ni2PtW at the PBE level of DFT.

```
Ni2PtW
1.0
4.550 0.000 0.000
0.000 2.713 0.000
-1.691 0.000 4.393
Ni Pt W
2 1 1
Direct
0.000 0.000 0.000
0.000 0.500 0.500
0.500 0.000 0.500
0.500 0.500 0.000
```

Computed properties:
As for the space group: P2/m.

Energetically preferred structure: version b | next structure: +4.5 kJ/mol of atoms

Version a
Computed, not measured: an optimized crystal structure of Ni2PtW at the PBE level of DFT.

```
Ni2PtW
1.0
2.668 -3.687 0.000
2.668 3.687 0.000
0.000 0.000 2.723
Ni Pt W
2 1 1
Direct
0.000 0.500 0.000
0.500 0.000 0.000
0.000 0.000 0.500
0.500 0.500 0.500
```

Computed properties:
As for the space group: Cmmm.

Version b
Computed, not measured: an optimized crystal structure of Ni2PtW at the PBE level of DFT.

```
Ni2PtW
1.0
3.871 0.000 0.000
0.000 3.871 0.000
0.000 0.000 3.557
Ni Pt W
2 1 1
Direct
0.000 0.500 0.000
0.500 0.000 0.000
0.000 0.000 0.500
0.500 0.500 0.500
```

Computed properties:
As for the space group: P4/mmm.

Energetically preferred structure: version a | next structure: +1.0 kJ/mol of atoms

Version a
Computed, not measured: an optimized crystal structure of Ni2PtW at the PBE level of DFT.

```
Ni2PtW
1.0
2.717 0.000 0.000
0.000 3.764 0.000
0.000 0.000 5.242
Ni Pt W
2 1 1
Direct
0.000 0.000 0.000
0.500 0.500 0.223
0.000 0.000 0.489
0.500 0.500 0.761
```

Computed properties:
As for the space group: Pmm2.

Version b
Computed, not measured: an optimized crystal structure of Ni2PtW at the PBE level of DFT.

```
Ni2PtW
1.0
4.442 -1.359 0.000
4.442 1.359 0.000
-0.863 0.000 4.430
Ni Pt W
2 1 1
Direct
0.000 0.000 0.000
0.745 0.745 0.236
0.250 0.250 0.741
0.494 0.494 0.480
```

Computed properties:
As for the space group: Cm.

Energetically preferred structure: version a | next structure: +3.0 kJ/mol of atoms

Version a
Computed, not measured: an optimized crystal structure of Ni2PtW at the PBE level of DFT.

```
Ni2PtW
1.0
-3.348 3.348 2.597
3.348 -3.348 2.597
3.348 3.348 -2.597
Ni Pt W
4 2 2
Direct
0.113 0.625 0.988
0.375 0.363 0.488
0.637 0.125 0.012
0.875 0.887 0.512
0.250 0.750 0.500
0.500 0.500 0.000
0.000 0.000 0.000
0.750 0.250 0.500
```

Computed properties:
As for the space group: I-42d.

Version b
Computed, not measured: an optimized crystal structure of Ni2PtW at the PBE level of DFT.

```
Ni2PtW
1.0
1.357 0.784 8.580
-1.357 0.784 8.580
0.000 -1.567 8.580
Ni Pt W
2 1 1
Direct
0.000 0.000 0.000
0.257 0.257 0.257
0.506 0.506 0.506
0.748 0.748 0.748
```

Computed properties:
As for the space group: R3m.

Version c
Computed, not measured: an optimized crystal structure of Ni2PtW at the PBE level of DFT.

```
Ni2PtW
1.0
-1.890 1.890 3.719
1.890 -1.890 3.719
1.890 1.890 -3.719
Ni Pt W
2 1 1
Direct
0.250 0.750 0.500
0.750 0.250 0.500
0.000 0.000 0.000
0.500 0.500 0.000
```

Computed properties:
As for the space group: I4/mmm.

Energetically preferred structure: version c | next structure: +18.1 kJ/mol of atoms

Version a
Computed, not measured: an optimized crystal structure of Ni2PtW at the PBE level of DFT.

```
Ni2PtW
1.0
2.752 0.000 0.000
0.000 2.752 0.000
0.000 0.000 7.075
Ni Pt W
2 1 1
Direct
0.000 0.000 0.000
0.500 0.500 0.220
0.000 0.000 0.478
0.500 0.500 0.762
```

Computed properties:
As for the space group: P4mm.

Version b
Computed, not measured: an optimized crystal structure of Ni2PtW at the PBE level of DFT.

```
Ni2PtW
1.0
-1.848 1.848 3.876
1.848 -1.848 3.876
1.848 1.848 -3.876
Ni Pt W
2 1 1
Direct
0.000 0.000 0.000
0.750 0.250 0.500
0.500 0.500 0.000
0.250 0.750 0.500
```

Computed properties:
As for the space group: I-4m2.

Energetically preferred structure: version b | next structure: +12.7 kJ/mol of atoms

Version a
Computed, not measured: an optimized crystal structure of NiPt2W at the PBE level of DFT.

```
NiPt2W
1.0
2.771 0.000 0.000
0.000 3.851 0.000
-0.011 0.000 5.474
Ni Pt W
1 2 1
Direct
0.000 0.000 0.000
0.501 0.500 0.764
0.999 0.000 0.479
0.499 0.500 0.231
```

Computed properties:
As for the space group: Pm.

Version b
Computed, not measured: an optimized crystal structure of NiPt2W at the PBE level of DFT.

```
NiPt2W
1.0
-1.919 1.919 3.919
1.919 -1.919 3.919
1.919 1.919 -3.919
Ni Pt W
1 2 1
Direct
0.000 0.000 0.000
0.250 0.750 0.500
0.750 0.250 0.500
0.500 0.500 0.000
```

Computed properties:
As for the space group: I4/mmm.

Energetically preferred structure: version b | next structure: +7.3 kJ/mol of atoms

Version a
Computed, not measured: an optimized crystal structure of NiPt2W at the PBE level of DFT.

```
NiPt2W
1.0
2.764 0.000 0.000
0.000 2.764 0.000
0.000 0.000 7.634
Ni Pt W
1 2 1
Direct
0.000 0.000 0.000
0.500 0.500 0.242
0.500 0.500 0.758
0.000 0.000 0.500
```

Computed properties:
As for the space group: P4/mmm.

Version b
Computed, not measured: an optimized crystal structure of NiPt2W at the PBE level of DFT.

```
NiPt2W
1.0
0.000 3.098 3.098
3.098 0.000 3.098
3.098 3.098 0.000
Ni Pt W
1 2 1
Direct
0.000 0.000 0.000
0.250 0.250 0.250
0.750 0.750 0.750
0.500 0.500 0.500
```

Computed properties:
As for the space group: Fm-3m.

Version c
Computed, not measured: an optimized crystal structure of NiPt2W at the PBE level of DFT.

```
NiPt2W
1.0
1.385 0.800 8.842
-1.385 0.800 8.842
0.000 -1.600 8.842
Ni Pt W
1 2 1
Direct
0.000 0.000 0.000
0.252 0.252 0.252
0.748 0.748 0.748
0.500 0.500 0.500
```

Computed properties:
As for the space group: R-3m.

Version d
Computed, not measured: an optimized crystal structure of NiPt2W at the PBE level of DFT.

```
NiPt2W
1.0
-1.915 1.915 3.957
1.915 -1.915 3.957
1.915 1.915 -3.957
Ni Pt W
1 2 1
Direct
0.000 0.000 0.000
0.250 0.750 0.500
0.500 0.500 0.000
0.750 0.250 0.500
```

Computed properties:
As for the space group: I-4m2.

Energetically preferred structure: version d | next structure: +1.7 kJ/mol of atoms

Version a
Computed, not measured: an optimized crystal structure of Ni4Pt2W at the PBE level of DFT.

```
Ni4Pt2W
1.0
-2.326 2.326 4.611
2.326 -2.326 4.611
2.326 2.326 -4.611
Ni Pt W
4 2 1
Direct
0.000 0.500 0.500
0.250 0.750 0.500
0.500 0.000 0.500
0.750 0.250 0.500
0.147 0.147 0.000
0.853 0.853 0.000
0.500 0.500 0.000
```

Computed properties:
As for the space group: I4/mmm.

Version b
Computed, not measured: an optimized crystal structure of Ni4Pt2W at the PBE level of DFT.

```
Ni4Pt2W
1.0
-2.215 2.215 6.103
2.215 -2.215 6.103
2.215 2.215 -6.103
Ni Pt W
4 2 1
Direct
0.000 0.500 0.500
0.187 0.187 0.000
0.500 0.000 0.500
0.813 0.813 0.000
0.387 0.387 0.000
0.613 0.613 0.000
0.000 0.000 0.000
```

Computed properties:
As for the space group: I4/mmm.

Version c
Computed, not measured: an optimized crystal structure of Ni4Pt2W at the PBE level of DFT.

```
Ni4Pt2W
1.0
6.662 0.000 0.000
0.000 6.662 0.000
0.000 0.000 4.330
Ni Pt W
8 4 2
Direct
0.094 0.357 0.000
0.143 0.594 0.500
0.357 0.094 0.000
0.406 0.857 0.500
0.594 0.143 0.500
0.643 0.906 0.000
0.857 0.406 0.500
0.906 0.643 0.000
0.176 0.176 0.500
0.324 0.676 0.000
0.676 0.324 0.000
0.824 0.824 0.500
0.000 0.000 0.000
0.500 0.500 0.500
```

Computed properties:
As for the space group: P4_2/mnm.

Energetically preferred structure: version c | next structure: +41.6 kJ/mol of atoms

Version a
Computed, not measured: an optimized crystal structure of Ni2Pt5W at the PBE level of DFT.

```
Ni2Pt5W
1.0
1.876 -5.755 0.000
1.876 5.755 0.000
0.000 0.000 11.532
Ni Pt W
4 10 2
Direct
0.244 0.756 0.593
0.244 0.756 0.907
0.756 0.244 0.093
0.756 0.244 0.407
0.093 0.907 0.079
0.093 0.907 0.421
0.410 0.590 0.750
0.411 0.589 0.096
0.411 0.589 0.404
0.589 0.411 0.596
0.589 0.411 0.904
0.590 0.410 0.250
0.907 0.093 0.579
0.907 0.093 0.921
0.253 0.747 0.250
0.747 0.253 0.750
```

Computed properties:
As for the space group: Cmcm.

Version b
Computed, not measured: an optimized crystal structure of Ni2Pt5W at the PBE level of DFT.

```
Ni2Pt5W
1.0
-3.289 3.289 5.509
3.289 -3.289 5.509
3.289 3.289 -5.509
Ni Pt W
4 10 2
Direct
0.136 0.636 0.771
0.364 0.136 0.500
0.636 0.864 0.500
0.864 0.364 0.229
0.000 0.000 0.000
0.000 0.187 0.500
0.000 0.813 0.500
0.187 0.687 0.187
0.313 0.500 0.500
0.500 0.000 0.187
0.500 0.000 0.813
0.500 0.500 0.000
0.687 0.500 0.500
0.813 0.313 0.813
0.250 0.250 0.000
0.750 0.750 0.000
```

Computed properties:
As for the space group: I4/mcm.

Energetically preferred structure: version a | next structure: +6.0 kJ/mol of atoms